(1)
Computed, not measured: an optimized crystal structure of DyTm8Tl2 at the PBE-GGA level of DFT.

The total energy is -0.300 Ry per atom. Its total magnetization is 0.0 μB per formula unit.

The space group is C2/m (No. 12) and the conventional cell measures 8.779, 15.035 and 5.493 Å, with angles of 90.00, 113.30 and 90.00 degrees. The distinct sites, in fractional coordinates, are Dy at (0.000, 0.000, 0.000), Tm at (0.000, 0.216, 0.000), Tm at (0.099, 0.500, 0.798), Tm at (0.209, 0.113, 0.619) and Tl at (0.000, 0.306, 0.500).

(2)
Computed, not measured: an optimized crystal structure of BeSnSbTe2 at the PBE-GGA level of DFT.

For the energy relative to the lowest polymorph listed for this composition, the calculation gives 0.828 eV per atom. Its total magnetization is 0.7 μB per formula unit.

The space group is P4/mmm (No. 123) and the conventional cell measures 5.693, 5.693 and 5.728 Å, with angles of 90.00, 90.00 and 90.00 degrees. The distinct sites, in fractional coordinates, are Be at (0.000, 0.000, 0.000), Sn at (0.500, 0.500, 0.500), Sb at (0.500, 0.500, 0.000) and Te at (0.000, 0.500, 0.500).

(3)
Computed, not measured: an optimized crystal structure of LaAlC2 at the PBE-GGA level of DFT.

The total energy is -0.470 Ry per atom. Its total magnetization is 0.0 μB per formula unit.

The space group is I-42d (No. 122) and the conventional cell measures 4.528, 4.528 and 12.360 Å, with angles of 90.00, 90.00 and 90.00 degrees. The distinct sites, in fractional coordinates, are La at (0.000, 0.000, 0.000), Al at (0.000, 0.000, 0.500) and C at (0.065, 0.250, 0.625).

(4)
Computed, not measured: an optimized crystal structure of Li2UN2Cl2 at the PBE-GGA level of DFT.

The total energy is -0.467 Ry per atom. Its total magnetization is 0.1 μB per formula unit.

The space group is I4/mmm (No. 139) and the conventional cell measures 4.158, 4.158 and 15.096 Å, with angles of 90.00, 90.00 and 90.00 degrees. The distinct sites, in fractional coordinates, are Li at (0.000, 0.000, 0.100), U at (0.000, 0.000, 0.500), N at (0.000, 0.500, 0.000) and Cl at (0.000, 0.000, 0.325).

(5)
Computed, not measured: an optimized crystal structure of Th2NbAg at the PBE-GGA level of DFT.

For the energy relative to the lowest polymorph listed for this composition, the calculation gives 0.414 eV per atom. Its total magnetization is 0.0 μB per formula unit.

The space group is R-3m (No. 166, hexagonal axes) and the conventional cell measures 3.2476, 3.2476 and 34.2220 Å, with angles of 90.00, 90.00 and 120.00 degrees. The distinct sites, in fractional coordinates, are Th at (0.0000, 0.0000, 0.0861), Nb at (0.0000, 0.0000, 0.0000) and Ag at (0.0000, 0.0000, 0.5000).

(6)
Computed, not measured: an optimized crystal structure of Ba8Ag3AuI4 at the PBE-GGA level of DFT.

The total energy is -0.217 Ry per atom. Its total magnetization is 0.0 μB per formula unit.

The space group is R-3m (No. 166, hexagonal axes) and the conventional cell measures 9.5691, 9.5691 and 26.8223 Å, with angles of 90.00, 90.00 and 120.00 degrees. The distinct sites, in fractional coordinates, are Ba at (0.0000, 0.0000, 0.2382), Ba at (0.0054, 0.5027, 0.2370), Ag at (0.0000, 0.5000, 0.5000), Au at (0.0000, 0.0000, 0.5000), I at (0.0000, 0.0000, 0.0000) and I at (0.0000, 0.5000, 0.0000).

(7)
Computed, not measured: an optimized crystal structure of ErScIn2Pd4 at the PBE-GGA level of DFT.

The total energy is -0.402 Ry per atom. Its total magnetization is 0.0 μB per formula unit.

The space group is R-3m (No. 166, hexagonal axes) and the conventional cell measures 4.7119, 4.7119 and 23.1668 Å, with angles of 90.00, 90.00 and 120.00 degrees. The distinct sites, in fractional coordinates, are Er at (0.0000, 0.0000, 0.0000), Sc at (0.0000, 0.0000, 0.5000), In at (0.0000, 0.0000, 0.2490), Pd at (0.0000, 0.0000, 0.1272) and Pd at (0.0000, 0.0000, 0.3780).

(8)
Computed, not measured: an optimized crystal structure of BP2C at the PBE-GGA level of DFT.

For the energy relative to the lowest polymorph listed for this composition, the calculation gives 1.707 eV per atom. Its total magnetization is 0.0 μB per formula unit.

The space group is Fm-3m (No. 225) and the conventional cell measures 5.411, 5.411 and 5.411 Å, with angles of 90.00, 90.00 and 90.00 degrees. The distinct sites, in fractional coordinates, are B at (0.000, 0.000, 0.000), P at (0.250, 0.250, 0.250) and C at (0.000, 0.000, 0.500).

(9)
Computed, not measured: an optimized crystal structure of NbReMo2 at the PBE-GGA level of DFT.

For the energy relative to the lowest polymorph listed for this composition, the calculation gives 0.009 eV per atom. Its total magnetization is 0.0 μB per formula unit.

The space group is P4/mmm (No. 123) and the conventional cell measures 4.497, 4.497 and 3.185 Å, with angles of 90.00, 90.00 and 90.00 degrees. The distinct sites, in fractional coordinates, are Nb at (0.000, 0.000, 0.000), Re at (0.500, 0.500, 0.000) and Mo at (0.000, 0.500, 0.500).

(10)
Computed, not measured: an optimized crystal structure of TlGe2Se2 at the PBE-GGA level of DFT.

For the energy relative to the lowest polymorph listed for this composition, the calculation gives 0.129 eV per atom. Its total magnetization is 0.0 μB per formula unit.

The space group is P4/mbm (No. 127) and the conventional cell measures 8.488, 8.488 and 3.579 Å, with angles of 90.00, 90.00 and 90.00 degrees. The distinct sites, in fractional coordinates, are Tl at (0.000, 0.000, 0.000), Ge at (0.116, 0.384, 0.500) and Se at (0.143, 0.643, 0.000).

(11)
Computed, not measured: an optimized crystal structure of Pm2EuTl at the PBE-GGA level of DFT.

For the energy relative to the lowest polymorph listed for this composition, the calculation gives 0.088 eV per atom. Its total magnetization is 7.6 μB per formula unit.

The space group is Fm-3m (No. 225) and the conventional cell measures 7.947, 7.947 and 7.947 Å, with angles of 90.00, 90.00 and 90.00 degrees. The distinct sites, in fractional coordinates, are Pm at (0.250, 0.250, 0.250), Eu at (0.000, 0.000, 0.000) and Tl at (0.000, 0.000, 0.500).

(12)
Computed, not measured: an optimized crystal structure of Tl2PdC at the PBE-GGA level of DFT.

For the energy relative to the lowest polymorph listed for this composition, the calculation gives 0.195 eV per atom. Its total magnetization is 0.0 μB per formula unit.

The space group is Fm-3m (No. 225) and the conventional cell measures 6.698, 6.698 and 6.698 Å, with angles of 90.00, 90.00 and 90.00 degrees. The distinct sites, in fractional coordinates, are Tl at (0.250, 0.250, 0.250), Pd at (0.000, 0.000, 0.000) and C at (0.000, 0.000, 0.500).